# 1
Density functional theory data (GGA-PBEsol) for BaYCuC2 after structural relaxation.

As for the crystal system: tetragonal. As for the total magnetic moment: 0.0 μB per cell. The calculation puts the theoretical density at 3.940 Mg/m³. For the total energy, the calculation gives -22.6 eV/cell.

Lattice parameters (Å, degrees): 4.4350 4.4350 6.7238 90.00 90.00 90.00
Last column: nearest neighbours and their distance in Å.
Sites, in units of the cell vectors:
1 C 0.0000 0.5000 0.0000  2 Y 2.22
2 Ba 0.0000 0.0000 0.5000  4 Cu 3.14, 2 Y 3.36
3 Cu 0.5000 0.5000 0.5000  4 Ba 3.14
4 Y 0.0000 0.0000 0.0000  4 C 2.22
5 C 0.5000 0.0000 0.0000  2 Y 2.22

---

# 2
Density functional theory data (GGA-PBEsol) for BaZr2CuC after structural relaxation.

As for the crystal system: tetragonal. As for the total magnetic moment: 0.0 μB per cell. The calculation puts the theoretical density at 6.611 Mg/m³. For the total energy, the calculation gives -28.9 eV/cell.

Lattice parameters (Å, degrees): 3.5754 5.2699 5.2699 90.00 90.00 90.00
Last column: nearest neighbours and their distance in Å.
Sites, in units of the cell vectors:
1 Cu 0.0000 0.0000 0.0000  2 C 1.79
2 C 0.5000 0.0000 0.0000  2 Cu 1.79
3 Zr 0.0000 0.0000 0.5000  2 Cu 2.63
4 Zr 0.0000 0.5000 0.0000  2 Cu 2.63
5 Ba 0.5000 0.5000 0.5000  8 Zr 3.18

---

# 3
Density functional theory data (GGA-PBEsol) for BaCF2 after structural relaxation.

As for the crystal system: trigonal. As for the total magnetic moment: 2.0 μB per cell. Its uncorrected formation energy is -0.904 eV/atom. The calculation puts the theoretical density at 4.948 Mg/m³. For the total energy, the calculation gives -19.3 eV/cell.

Lattice parameters (Å, degrees): 4.3529 4.3529 4.5821 61.64 61.64 60.00
Last column: nearest neighbours and their distance in Å.
Sites, in units of the cell vectors:
1 C 0.5000 0.5000 0.5000  6 F 2.64
2 F 0.7617 0.7617 0.7150  3 C 2.64, 4 Ba 2.74
3 Ba 0.0000 0.0000 0.0000  8 F 2.74
4 F 0.2383 0.2383 0.2851  3 C 2.64, 4 Ba 2.74

---

# 4
Density functional theory data (GGA-PBEsol) for BaC3F after structural relaxation.

As for the crystal system: cubic. As for the total magnetic moment: 7.8 μB per cell. Its uncorrected formation energy is 3.606 eV/atom. The calculation puts the theoretical density at 1.798 Mg/m³. For the total energy, the calculation gives -15.0 eV/cell.

Lattice parameters (Å, degrees): 5.6211 5.6211 5.6211 90.00 90.00 90.00
Last column: nearest neighbours and their distance in Å.
Sites, in units of the cell vectors:
1 C 0.0000 0.0000 0.5000  2 Ba 2.81
2 C 0.0000 0.5000 0.0000  2 Ba 2.81
3 Ba 0.0000 0.0000 0.0000  6 C 2.81
4 C 0.5000 0.0000 0.0000  2 Ba 2.81
5 F 0.5000 0.5000 0.5000  12 C 3.97

---

# 5
Density functional theory data (GGA-PBEsol) for Ba3La2C5O15F2 after structural relaxation.

As for the crystal system: monoclinic. As for the total magnetic moment: 0.0 μB per cell. Its uncorrected formation energy is -2.493 eV/atom. The calculation puts the theoretical density at 4.781 Mg/m³. For the total energy, the calculation gives -430.5 eV/cell.

Lattice parameters (Å, degrees): 5.0891 10.9966 13.1565 94.53 90.00 103.38
Last column: nearest neighbours and their distance in Å.
Sites, in units of the cell vectors:
1 O 0.2675 0.9756 0.8140  1 C 1.29
2 La 0.8948 0.7896 0.7122  1 F 2.38, 7 O 2.48-2.64
3 O 0.1423 0.8438 0.3412  1 C 1.29
4 Ba 0.5000 0.0000 0.5000  12 O 2.94-2.98
5 O 0.7325 0.0244 0.1860  1 C 1.29
6 Ba 0.1925 0.3849 0.6009  11 O 2.67-2.99
7 O 0.8982 0.7964 0.1311  1 C 1.30
8 O 0.0318 0.6209 0.0838  1 C 1.29
9 F 0.8746 0.7492 0.8878  1 La 2.38
10 O 0.8577 0.1562 0.6588  1 C 1.29
11 O 0.2985 0.1562 0.6588  1 C 1.29
12 C 0.4586 0.9171 0.8000  3 O 1.29-1.30
13 O 0.5891 0.6209 0.0838  1 C 1.29
14 La 0.5999 0.1998 0.8154  1 F 2.36, 5 O 2.46-2.64
15 Ba 0.8075 0.6151 0.3991  11 O 2.67-2.99
16 O 0.0101 0.0202 0.3871  1 C 1.29
17 O 0.7081 0.9756 0.8140  1 C 1.29
18 C 0.8393 0.6786 0.0973  3 O 1.29-1.30
19 O 0.3062 0.6123 0.2801  1 C 1.29
20 O 0.9962 0.4297 0.2754  1 C 1.30
21 F 0.1254 0.2508 0.1122  1 La 2.38
22 Ba 0.0000 0.0000 0.0000  6 O 2.83-2.89, 6 F 2.96-3.00
23 O 0.1592 0.7580 0.5579  1 C 1.30
24 O 0.7062 0.4125 0.5050  1 C 1.28
25 C 0.1607 0.3214 0.9027  3 O 1.29-1.30
26 C 0.7541 0.5082 0.7245  3 O 1.29-1.30
27 O 0.4109 0.3791 0.9162  1 C 1.29
28 O 0.6938 0.3877 0.7199  1 C 1.29
29 C 0.9517 0.9034 0.3541  3 O 1.29
30 O 0.2919 0.0244 0.1860  1 C 1.29
31 F 0.5730 0.1460 0.9859  1 La 2.36
32 O 0.4001 0.8002 0.7655  1 C 1.30
33 O 0.7015 0.8438 0.3412  1 C 1.29
34 C 0.5414 0.0829 0.2000  3 O 1.29-1.30
35 C 0.6503 0.3007 0.4613  3 O 1.28-1.30
36 Ba 0.6863 0.3727 0.0954  7 O 2.71-2.90, 3 F 2.72-2.88
37 O 0.5665 0.5703 0.7246  1 C 1.30
38 C 0.3497 0.6993 0.5387  3 O 1.28-1.30
39 O 0.4012 0.2420 0.4421  1 C 1.30
40 C 0.2459 0.4918 0.2755  3 O 1.29-1.30
41 O 0.2938 0.5875 0.4950  1 C 1.28
42 O 0.9682 0.3791 0.9162  1 C 1.29
43 F 0.4270 0.8540 0.0141  1 La 2.36
44 Ba 0.3137 0.6273 0.9046  7 O 2.71-2.90, 3 F 2.72-2.88
45 O 0.8408 0.2420 0.4421  1 C 1.30
46 O 0.4335 0.4297 0.2754  1 C 1.30
47 La 0.4001 0.8002 0.1846  1 F 2.36, 5 O 2.46-2.64
48 O 0.5988 0.7580 0.5579  1 C 1.30
49 O 0.1018 0.2036 0.8689  1 C 1.30
50 La 0.1052 0.2104 0.2878  1 F 2.38, 7 O 2.48-2.64
51 O 0.9899 0.9798 0.6129  1 C 1.29
52 O 0.0038 0.5703 0.7246  1 C 1.30
53 O 0.5999 0.1998 0.2345  1 C 1.30
54 C 0.0483 0.0966 0.6459  3 O 1.29

---

# 6
Density functional theory data (GGA-PBEsol) for Ba2LaC3O9F after structural relaxation.

As for the crystal system: monoclinic. As for the total magnetic moment: 0.0 μB per cell. Its uncorrected formation energy is -2.462 eV/atom. The calculation puts the theoretical density at 4.728 Mg/m³. For the total energy, the calculation gives -254.3 eV/cell.

Lattice parameters (Å, degrees): 5.1017 6.6244 13.0605 102.87 90.00 90.00
Last column: nearest neighbours and their distance in Å.
Sites, in units of the cell vectors:
1 O 0.9713 0.4026 0.1042  1 C 1.29
2 O 0.0319 0.8801 0.2626  1 C 1.30
3 O 0.7500 0.1340 0.4927  1 C 1.28
4 La 0.2500 0.2266 0.2382  1 F 2.41, 7 O 2.48-2.64
5 C 0.7500 0.2137 0.7267  3 O 1.29-1.30
6 C 0.7500 0.3320 0.1284  3 O 1.29-1.31
7 O 0.5287 0.4026 0.1042  1 C 1.29
8 C 0.7500 0.2543 0.4281  3 O 1.28-1.30
9 O 0.2500 0.6093 0.2986  1 C 1.29
10 C 0.2500 0.6680 0.8716  3 O 1.29-1.31
11 La 0.7500 0.7734 0.7618  1 F 2.41, 7 O 2.48-2.64
12 O 0.9699 0.3220 0.3983  1 C 1.30
13 O 0.5301 0.3220 0.3983  1 C 1.30
14 O 0.7500 0.3907 0.7014  1 C 1.29
15 O 0.2500 0.8094 0.8162  1 C 1.31
16 Ba 0.2500 0.2150 0.9250  3 F 2.72-2.87, 7 O 2.75-2.87
17 O 0.9681 0.1199 0.7374  1 C 1.30
18 Ba 0.2500 0.2743 0.5837  9 O 2.67-2.89
19 F 0.7500 0.0184 0.9285  1 La 2.41
20 O 0.4699 0.6780 0.6017  1 C 1.30
21 O 0.7500 0.1906 0.1838  1 C 1.31
22 O 0.4713 0.5974 0.8958  1 C 1.29
23 O 0.5319 0.1199 0.7374  1 C 1.30
24 O 0.0287 0.5974 0.8958  1 C 1.29
25 F 0.2500 0.9816 0.0715  1 La 2.41
26 O 0.4681 0.8801 0.2626  1 C 1.30
27 O 0.0301 0.6780 0.6017  1 C 1.30
28 C 0.2500 0.7457 0.5719  3 O 1.28-1.30
29 Ba 0.7500 0.7850 0.0750  3 F 2.72-2.87, 7 O 2.75-2.87
30 O 0.2500 0.8660 0.5073  1 C 1.28
31 Ba 0.7500 0.7257 0.4163  9 O 2.67-2.89
32 C 0.2500 0.7863 0.2733  3 O 1.29-1.30

---

# 7
Density functional theory data (GGA-PBEsol) for Ba4MgC4N8F2 after structural relaxation.

As for the crystal system: monoclinic. As for the total magnetic moment: 0.0 μB per cell. Its uncorrected formation energy is -1.305 eV/atom. The calculation puts the theoretical density at 4.540 Mg/m³. For the total energy, the calculation gives -291.5 eV/cell.

Lattice parameters (Å, degrees): 8.3447 8.3999 8.5231 90.00 90.00 109.11
Last column: nearest neighbours and their distance in Å.
Sites, in units of the cell vectors:
1 N 0.7822 0.0886 0.0019  1 C 1.24
2 C 0.5062 0.6433 0.8573  2 N 1.23
3 N 0.0668 0.7354 0.3877  1 C 1.24
4 Ba 0.2437 0.7424 0.6738  2 F 2.56-2.67, 3 N 2.80-2.86
5 Ba 0.2437 0.2424 0.8262  2 F 2.56-2.67, 3 N 2.80-2.86
6 Ba 0.7874 0.9119 0.6682  2 F 2.68-2.72, 4 N 2.74-2.93
7 N 0.4975 0.2443 0.5406  1 C 1.23
8 N 0.4866 0.9554 0.2524  1 C 1.23
9 N 0.5025 0.7557 0.4594  1 C 1.23
10 C 0.9258 0.6605 0.4448  2 N 1.24
11 Ba 0.7563 0.2576 0.3262  2 F 2.56-2.67, 3 N 2.80-2.86
12 N 0.9332 0.7646 0.8877  1 C 1.24
13 N 0.5025 0.2557 0.0406  1 C 1.23
14 N 0.2178 0.4114 0.5019  1 C 1.24
15 C 0.4938 0.3567 0.1427  2 N 1.23
16 Ba 0.2126 0.5881 0.1682  2 F 2.68-2.72, 4 N 2.74-2.93
17 Ba 0.7874 0.4119 0.8318  2 F 2.68-2.72, 4 N 2.74-2.93
18 F 0.8713 0.4990 0.1303  4 Ba 2.56-2.72
19 N 0.4866 0.4554 0.2476  1 C 1.23
20 Ba 0.7563 0.7576 0.1738  2 F 2.56-2.67, 3 N 2.80-2.86
21 N 0.5134 0.5446 0.7524  1 C 1.23
22 N 0.5134 0.0446 0.7476  1 C 1.23
23 N 0.4975 0.7443 0.9594  1 C 1.23
24 C 0.0742 0.8395 0.9448  2 N 1.24
25 C 0.0742 0.3395 0.5552  2 N 1.24
26 F 0.8713 0.9990 0.3697  4 Ba 2.56-2.72
27 C 0.5062 0.1433 0.6427  2 N 1.23
28 F 0.1287 0.0010 0.6303  4 Ba 2.56-2.72
29 C 0.4938 0.8567 0.3573  2 N 1.23
30 N 0.2178 0.9114 0.9981  1 C 1.24
31 C 0.9258 0.1605 0.0552  2 N 1.24
32 Ba 0.2126 0.0881 0.3318  2 F 2.68-2.72, 4 N 2.74-2.93
33 Mg 0.5000 0.0000 0.0000  6 N 2.17-2.23
34 N 0.0668 0.2354 0.1123  1 C 1.24
35 Mg 0.5000 0.5000 0.5000  6 N 2.17-2.23
36 F 0.1287 0.5010 0.8697  4 Ba 2.56-2.72
37 N 0.7822 0.5886 0.4981  1 C 1.24
38 N 0.9332 0.2646 0.6123  1 C 1.24

---

# 8
Density functional theory data (GGA-PBEsol) for BaCNF2 after structural relaxation.

As for the crystal system: tetragonal. As for the total magnetic moment: 0.0 μB per cell. Its uncorrected formation energy is -0.964 eV/atom. The calculation puts the theoretical density at 5.533 Mg/m³. For the total energy, the calculation gives -29.0 eV/cell.

Lattice parameters (Å, degrees): 2.6941 4.7357 4.7357 90.00 90.00 90.00
Last column: nearest neighbours and their distance in Å.
Sites, in units of the cell vectors:
1 F 0.0000 0.5000 0.0000  2 C 2.37
2 N 0.5000 0.0000 0.0000  2 C 1.35
3 C 0.0000 0.0000 0.0000  2 N 1.35
4 F 0.0000 0.0000 0.5000  2 C 2.37
5 Ba 0.5000 0.5000 0.5000  2 Ba 2.69, 8 F 2.72